Compound: InRe3Os
Source: Alexandria
Functional: PBE
Structure: optimized geometry

The structure belongs to space group Pm-3m (No. 221); the cell edges are 4.742, 4.742 and 4.742 Å and the angles 90.00°, 90.00° and 90.00°. The inequivalent atoms are In at (0.000, 0.000, 0.000), Re at (0.000, 0.500, 0.500) and Os at (0.500, 0.500, 0.500).

The density of states at the Fermi level is 6.6 states/eV/cell. As for the final energy: -8.22 eV per atom. Its energy above the lowest structure with this stoichiometry is 0 meV/atom. Its formation energy is 2038.4 meV/atom. For the volume, the calculation gives 106.63 Å³/f.u.